## ScTlCd2 (PBE)

Data for a relaxed structure of ScTlCd2.

Summary:
Its formation energy is -0.080 eV per atom. As for the space group: P4mm. For the density of states at the Fermi level, the calculation gives 0.6962 states/eV per atom. The calculation puts the relative energy among the computed polymorphs at 2.33 kcal/mol of atoms. The total energy comes out at -10.85 eV for the cell shown.

Cell lengths 3.4073, 3.4073, 8.0663 Å; angles 90.00, 90.00, 90.00 degrees
Closest atoms and distances in Å follow each position.
Positions (direct):
1 Sc 0.0000 0.0000 0.0000  4 Cd 3.09, 4 Tl 3.16, 4 Sc 3.41
2 Tl 0.5000 0.5000 0.2543  4 Sc 3.16, 4 Cd 3.25, 4 Tl 3.41
3 Cd 0.0000 0.0000 0.5247  8 Cd 3.07-3.41, 4 Tl 3.25
4 Cd 0.5000 0.5000 0.7607  8 Cd 3.07-3.41, 4 Sc 3.09